[1]
A plane-wave DFT calculation with PBE was carried out for a relaxed structure of DyZnSi.

Summary:
For the formation energy (no corrections), the calculation gives -0.626 eV per atom. For the density of states at the Fermi level, the calculation gives 1.19 states/eV/f.u. The total energy is -13.18 eV/cell. Its total moment is 0.000 μB/atom.

The structure in CIF format:
```
data_DyZnSi
_cell_length_a 4.1085
_cell_length_b 4.1085
_cell_length_c 4.0391
_cell_angle_alpha 90.00
_cell_angle_beta 90.00
_cell_angle_gamma 120.00
_space_group_name_H-M_alt 'P -6 m 2'
_space_group_IT_number 187
_space_group_name_Hall 'P -6 2'
loop_
_atom_site_label
_atom_site_fract_x
_atom_site_fract_y
_atom_site_fract_z
Dy1 0.0000 0.0000 0.0000
Zn1 0.3333 0.6667 0.5000
Si1 0.6667 0.3333 0.5000
```

[2]
A plane-wave DFT calculation with PBE was carried out for a relaxed structure of Dy2Zn3Si2.

Summary:
For the formation energy (no corrections), the calculation gives -0.365 eV per atom. For the density of states at the Fermi level, the calculation gives 3.06 states/eV/f.u. The total energy is -52.85 eV/cell. Its total moment is 0.000 μB/atom.

The structure in CIF format:
```
data_Dy2Zn3Si2
_cell_length_a 3.721
_cell_length_b 18.765
_cell_length_c 4.030
_cell_angle_alpha 90.00
_cell_angle_beta 90.00
_cell_angle_gamma 90.00
_space_group_name_H-M_alt 'C m m m'
_space_group_IT_number 65
_space_group_name_Hall '-C 2 2'
loop_
_atom_site_label
_atom_site_fract_x
_atom_site_fract_y
_atom_site_fract_z
Dy1 0.000 0.165 0.000
Zn1 0.000 0.000 0.000
Zn2 0.000 0.432 0.500
Si1 0.000 0.289 0.500
```

[3]
A plane-wave DFT calculation with PBE was carried out for a relaxed structure of Dy2ZnSi.

Summary:
For the formation energy (no corrections), the calculation gives -0.558 eV per atom. For the density of states at the Fermi level, the calculation gives 4.54 states/eV/f.u. The total energy is -36.27 eV/cell. Its total moment is 0.000 μB/atom.

The structure in CIF format:
```
data_Dy2ZnSi
_cell_length_a 5.788
_cell_length_b 4.038
_cell_length_c 8.294
_cell_angle_alpha 90.00
_cell_angle_beta 109.13
_cell_angle_gamma 90.00
_space_group_name_H-M_alt 'P 1 21/m 1'
_space_group_IT_number 11
_space_group_name_Hall '-P 2yb'
loop_
_atom_site_label
_atom_site_fract_x
_atom_site_fract_y
_atom_site_fract_z
Dy1 0.211 0.250 0.430
Dy2 0.285 0.750 0.071
Zn1 0.355 0.750 0.715
Si1 0.139 0.250 0.788
```

[4]
A plane-wave DFT calculation with PBE was carried out for a relaxed structure of Dy2ZnSi.

Summary:
For the formation energy (no corrections), the calculation gives -0.469 eV per atom. For the density of states at the Fermi level, the calculation gives 1.69 states/eV/f.u. The total energy is -17.78 eV/cell. Its total moment is 0.000 μB/atom.

The structure in CIF format:
```
data_Dy2ZnSi
_cell_length_a 4.878
_cell_length_b 4.878
_cell_length_c 3.670
_cell_angle_alpha 90.00
_cell_angle_beta 90.00
_cell_angle_gamma 90.00
_space_group_name_H-M_alt 'P 4/m m m'
_space_group_IT_number 123
_space_group_name_Hall '-P 4 2'
loop_
_atom_site_label
_atom_site_fract_x
_atom_site_fract_y
_atom_site_fract_z
Dy1 0.000 0.500 0.000
Zn1 0.000 0.000 0.500
Si1 0.500 0.500 0.500
```